1.
Below is crystalline Tb3PmIn at its relaxed geometry, with properties calculated at the GGA-PBE level.

Output
Theoretical density = 8.15 Mg/m³
Total magnetic moment = 0.0 μB/f.u.
Energy of formation = -183.0 meV/atom
Symmetry = No. 63
Distance to the lowest polymorph of the same formula = 0 meV/atom

POSCAR file:
```
Tb3PmIn
1.0
4.752 0.000 1.086
0.000 4.862 0.000
-0.445 0.000 12.887
Tb Pm In
6 2 2
Cartesian
3.623 1.216 2.178
1.370 1.216 12.036
2.505 1.216 7.071
1.265 3.647 1.555
3.764 3.647 12.499
0.131 3.647 6.520
1.934 3.647 9.569
0.702 1.216 4.022
3.049 3.647 4.690
4.338 1.216 9.987
```

***

2.
Below is crystalline BaHfSe3 at its relaxed geometry, with properties calculated at the GGA-PBE level.

Output
Formation energy (no corrections) = -152.18 kJ/mol of atoms
Theoretical density = 6.10 Mg/m³
Total magnetic moment = 0.0 μB/f.u.
Symmetry = No. 11

POSCAR file:
```
BaHfSe3
1.0
-1.014 -1.841 4.779
5.168 -0.207 1.017
0.154 11.141 1.486
Ba Hf Se
2 2 6
Cartesian
0.466 0.412 4.546
3.841 8.681 2.736
3.496 2.999 3.334
0.811 6.094 3.948
0.729 8.482 4.854
3.579 0.611 2.428
2.984 2.238 5.782
1.323 6.855 1.500
0.902 3.408 2.940
3.405 5.685 4.342
```

***

3.
Below is crystalline TiAlAg3 at its relaxed geometry, with properties calculated at the GGA-PBE level.

Output
Theoretical density = 5.05 Mg/m³
Total magnetic moment = 1.5 μB/f.u.
Energy of formation = 1133.6 meV/atom
Symmetry = No. 221
Distance to the lowest polymorph of the same formula = 505 meV/atom

POSCAR file:
```
TiAlAg3
1.0
-3.043 -0.896 -3.968
-3.948 -0.547 3.150
-0.983 4.970 -0.369
Al Ag Ti
1 3 1
Cartesian
-3.986 1.764 -0.593
-1.974 -0.273 1.575
-0.491 2.485 -0.184
-1.521 -0.448 -1.984
0.000 0.000 0.000
```

***

4.
Below is crystalline Nb2CrSnN at its relaxed geometry, with properties calculated at the GGA-PBE level.

Output
Formation energy (no corrections) = -33.39 kJ/mol of atoms
Theoretical density = 8.15 Mg/m³
Total magnetic moment = 1.7 μB/f.u.
Symmetry = No. 123

POSCAR file:
```
Nb2CrSnN
1.0
-1.453 -2.576 -3.265
-0.715 -3.253 2.884
-3.615 1.307 0.578
Cr Nb Sn N
1 2 1 1
Cartesian
-1.808 0.654 0.289
-0.358 -1.626 1.442
-0.727 -1.288 -1.633
-2.892 -2.261 0.098
0.000 0.000 0.000
```

***

5.
Below is crystalline Cs2ThUSe6 at its relaxed geometry, with properties calculated at the GGA-PBE level.

Output
Formation energy (no corrections) = -129.51 kJ/mol of atoms
Theoretical density = 5.75 Mg/m³
Total magnetic moment = 0.1 μB/f.u.
Symmetry = No. 59

POSCAR file:
```
Cs2ThUSe6
1.0
-1.308 6.654 4.059
1.344 -3.862 6.763
10.858 2.559 -0.696
Cs Th U Se
4 2 2 12
Cartesian
3.067 1.069 6.930
8.477 0.954 1.167
8.499 2.349 6.581
3.052 -0.325 1.515
6.436 -1.616 4.722
-0.317 2.360 3.723
5.110 3.642 3.369
1.008 -2.898 5.075
2.487 3.024 3.539
7.734 4.260 3.202
3.632 -2.279 4.906
9.242 -0.957 4.546
5.101 2.971 0.754
4.470 6.183 2.713
5.751 1.101 4.020
5.118 4.320 5.984
-0.307 3.079 6.520
0.368 -0.356 4.425
1.018 -2.226 7.691
0.341 1.216 9.791
```

***

6.
Below is crystalline CsSnH2Ru at its relaxed geometry, with properties calculated at the GGA-PBE level.

Output
Theoretical density = 6.48 Mg/m³
Total magnetic moment = 0.0 μB/f.u.
Symmetry = No. 123
E_tot = -16.879 eV per formula unit

POSCAR file:
```
CsSnH2Ru
1.0
-2.585 -3.181 0.099
1.035 -1.003 -5.215
3.084 -2.472 1.088
Cs Ru Sn H
1 1 1 2
Cartesian
0.767 -3.328 -2.014
0.517 -0.502 -2.607
0.000 0.000 0.000
1.542 -1.236 0.544
-1.292 -1.591 0.050
```

***

7.
Below is crystalline PdSe2O at its relaxed geometry, with properties calculated at the GGA-PBE level.

Output
Formation energy (no corrections) = 38.82 kJ/mol of atoms
Theoretical density = 7.36 Mg/m³
Total magnetic moment = 0.0 μB/f.u.
Symmetry = No. 166

POSCAR file:
```
PdSe2O
1.0
1.707 0.000 8.348
-0.854 1.479 8.348
-0.854 -1.479 8.348
O Se Pd
1 2 1
Cartesian
0.000 0.000 12.522
0.000 0.000 22.572
0.000 0.000 2.471
0.000 0.000 0.000
```

***

8.
Below is crystalline NaCa2AlC at its relaxed geometry, with properties calculated at the GGA-PBE level.

Output
Theoretical density = 2.05 Mg/m³
Total magnetic moment = 0.0 μB/f.u.
Energy of formation = 152.6 meV/atom
Symmetry = No. 123
Distance to the lowest polymorph of the same formula = 0 meV/atom

POSCAR file:
```
NaCa2AlC
1.0
5.337 0.000 0.000
0.000 4.034 0.000
0.000 0.000 5.337
C Na Ca Al
1 1 2 1
Cartesian
0.000 0.000 0.000
2.669 2.017 2.669
0.000 0.000 2.669
2.669 0.000 0.000
0.000 2.017 0.000
```